# 1
In3MoAs at its PBEsol-relaxed geometry. Source: Alexandria via LeMat-Bulk, functional SCAN.

It has space group Pm-3m (No. 221), with a = 5.216 Å, b = 5.216 Å, c = 5.216 Å, α = 90.00°, β = 90.00° and γ = 90.00°. The distinct sites, in fractional coordinates, are In at (0.000, 0.000, 0.500), Mo at (0.000, 0.000, 0.000) and As at (0.500, 0.500, 0.500).

The calculation puts the total moment at 3.4 μB/cell. Its calculated density is 6.030 Mg/m³. Its formation energy from the elements is 0.8490 eV per atom.

***

# 2
InMoAs2Pb at its PBEsol-relaxed geometry. Source: Alexandria via LeMat-Bulk, functional SCAN.

It has space group P4/mmm (No. 123), with a = 5.097 Å, b = 5.097 Å, c = 5.468 Å, α = 90.00°, β = 90.00° and γ = 90.00°. The distinct sites, in fractional coordinates, are In at (0.000, 0.000, 0.000), Mo at (0.500, 0.500, 0.500), As at (0.000, 0.500, 0.000) and Pb at (0.000, 0.000, 0.500).

The calculation puts the total moment at 3.8 μB/cell. Its calculated density is 6.636 Mg/m³. Its formation energy from the elements is 1.4076 eV per atom.

***

# 3
In2SbMoAs at its PBEsol-relaxed geometry. Source: Alexandria via LeMat-Bulk, functional SCAN.

It has space group P4/mmm (No. 123), with a = 5.448 Å, b = 5.448 Å, c = 5.132 Å, α = 90.00°, β = 90.00° and γ = 90.00°. The distinct sites, in fractional coordinates, are In at (0.000, 0.500, 0.000), Sb at (0.000, 0.000, 0.000), Mo at (0.000, 0.000, 0.500) and As at (0.500, 0.500, 0.500).

The calculation puts the total moment at 3.4 μB/cell. Its calculated density is 5.693 Mg/m³. The calculation puts the uncorrected formation energy at 1234 meV per atom.

***

# 4
InAsSe2N at its PBEsol-relaxed geometry. Source: Alexandria via LeMat-Bulk, functional SCAN.

It has space group P4/mmm (No. 123), with a = 5.215 Å, b = 5.215 Å, c = 5.315 Å, α = 90.00°, β = 90.00° and γ = 90.00°. The distinct sites, in fractional coordinates, are In at (0.000, 0.000, 0.000), As at (0.000, 0.000, 0.500), Se at (0.000, 0.500, 0.000) and N at (0.500, 0.500, 0.500).

The calculation puts the total moment at 2.2 μB/cell. The polymorph energy (0 for the lowest one) is 705 meV per atom. Its calculated density is 4.155 Mg/m³. The calculation puts the uncorrected formation energy at 1506 meV per atom.